# 1
Material: Nd12Zn5N3
Method: DFT, PBE-GGA
State: optimized geometry Values from VASP.

Summary:
- DOS at the Fermi energy: 79.374 states/eV per cell
- Size of the total moment: 0.0 μB/f.u.
- Formation energy from raw total energies: 0.208 eV per atom
- Crystal system: cubic

```
&SYSTEM
  ibrav = 0, nat = 80, ntyp = 3
/
ATOMIC_SPECIES
Nd 144.24 Nd.upf
Zn 65.41 Zn.upf
N 14.01 N.upf
CELL_PARAMETERS angstrom
-8.3679 8.3679 8.3679
8.3679 -8.3679 8.3679
8.3679 8.3679 -8.3679
ATOMIC_POSITIONS crystal
Nd 0.0381 0.6226 0.3771
Nd 0.0381 0.9155 0.6610
Nd 0.0845 0.2455 0.1226
Nd 0.0845 0.3390 0.9619
Nd 0.1226 0.0845 0.2455
Nd 0.1226 0.5381 0.8771
Nd 0.1229 0.7455 0.6610
Nd 0.1229 0.8774 0.4619
Nd 0.1610 0.2455 0.6229
Nd 0.1610 0.4155 0.5381
Nd 0.2455 0.1226 0.0845
Nd 0.2455 0.6229 0.1610
Nd 0.2545 0.3390 0.8771
Nd 0.2545 0.4155 0.3774
Nd 0.3390 0.8771 0.2545
Nd 0.3390 0.9619 0.0845
Nd 0.3771 0.0381 0.6226
Nd 0.3774 0.2545 0.4155
Nd 0.3774 0.6229 0.9619
Nd 0.3771 0.8390 0.7545
Nd 0.4155 0.3774 0.2545
Nd 0.4155 0.5381 0.1610
Nd 0.4619 0.1229 0.8774
Nd 0.4619 0.8390 0.5845
Nd 0.5381 0.1610 0.4155
Nd 0.5381 0.8771 0.1226
Nd 0.5845 0.4619 0.8390
Nd 0.5845 0.6226 0.7455
Nd 0.6229 0.1610 0.2455
Nd 0.6226 0.3771 0.0381
Nd 0.6226 0.7455 0.5845
Nd 0.6229 0.9619 0.3774
Nd 0.6610 0.0381 0.9155
Nd 0.6610 0.1229 0.7455
Nd 0.7455 0.5845 0.6226
Nd 0.7455 0.6610 0.1229
Nd 0.7545 0.3771 0.8390
Nd 0.7545 0.8774 0.9155
Nd 0.8390 0.5845 0.4619
Nd 0.8390 0.7545 0.3771
Nd 0.8771 0.1226 0.5381
Nd 0.8771 0.2545 0.3390
Nd 0.8774 0.4619 0.1229
Nd 0.8774 0.9155 0.7545
Nd 0.9155 0.6610 0.0381
Nd 0.9155 0.7545 0.8774
Nd 0.9619 0.0845 0.3390
Nd 0.9619 0.3774 0.6229
Zn 0.0000 0.0000 0.0000
Zn 0.0000 0.0000 0.5000
Zn 0.0000 0.5000 0.0000
Zn 0.0000 0.5000 0.5000
Zn 0.1250 0.7500 0.8750
Zn 0.1250 0.8750 0.2500
Zn 0.2500 0.1250 0.8750
Zn 0.2500 0.6250 0.3750
Zn 0.3750 0.2500 0.6250
Zn 0.3750 0.6250 0.7500
Zn 0.5000 0.0000 0.0000
Zn 0.5000 0.0000 0.5000
Zn 0.5000 0.5000 0.0000
Zn 0.5000 0.5000 0.5000
Zn 0.6250 0.3750 0.2500
Zn 0.6250 0.7500 0.3750
Zn 0.7500 0.3750 0.6250
Zn 0.7500 0.8750 0.1250
Zn 0.8750 0.1250 0.7500
Zn 0.8750 0.2500 0.1250
N 0.1250 0.2500 0.3750
N 0.1250 0.3750 0.7500
N 0.2500 0.3750 0.1250
N 0.2500 0.8750 0.6250
N 0.3750 0.1250 0.2500
N 0.3750 0.7500 0.1250
N 0.6250 0.2500 0.8750
N 0.6250 0.8750 0.7500
N 0.7500 0.1250 0.3750
N 0.7500 0.6250 0.8750
N 0.8750 0.6250 0.2500
N 0.8750 0.7500 0.6250
```



# 2
Material: Nd2ZnN
Method: DFT, PBE-GGA
State: optimized geometry Values from VASP.

Summary:
- Energy relative to the lowest polymorph listed for this composition: 59 meV/atom
- DOS at the Fermi energy: 5.741 states/eV per cell
- Size of the total moment: 0.0 μB/f.u.
- Formation energy from raw total energies: -0.646 eV per atom
- Crystal system: orthorhombic

```
&SYSTEM
  ibrav = 0, nat = 8, ntyp = 3
/
ATOMIC_SPECIES
Nd 144.24 Nd.upf
Zn 65.41 Zn.upf
N 14.01 N.upf
CELL_PARAMETERS angstrom
-2.5165 5.3872 3.4874
2.5165 -5.3872 3.4874
2.5165 5.3872 -3.4874
ATOMIC_POSITIONS crystal
Nd 0.1028 0.2500 0.3528
Nd 0.4520 0.8834 0.0686
Nd 0.8148 0.3834 0.9314
Nd 0.8972 0.7500 0.6472
Zn 0.3745 0.2007 0.6738
Zn 0.5269 0.7007 0.3262
N 0.0755 0.7087 0.8668
N 0.8419 0.2087 0.1332
```



# 3
Material: NdZrZnN3
Method: DFT, PBE-GGA
State: optimized geometry Values from VASP.

Summary:
- Size of the total moment: 0.0 μB/f.u.
- Formation energy from raw total energies: -0.926 eV per atom
- Crystal system: monoclinic

```
&SYSTEM
  ibrav = 0, nat = 12, ntyp = 4
/
ATOMIC_SPECIES
Nd 144.24 Nd.upf
Zr 91.22 Zr.upf
Zn 65.41 Zn.upf
N 14.01 N.upf
CELL_PARAMETERS angstrom
7.0429 0.0000 0.0000
0.0000 3.3562 0.0000
-1.5142 0.0000 7.3046
ATOMIC_POSITIONS crystal
Nd 0.1898 0.2500 0.2228
Nd 0.8102 0.7500 0.7772
Zr 0.3409 0.7500 0.8575
Zr 0.6591 0.2500 0.1425
Zn 0.1147 0.2500 0.5937
Zn 0.8853 0.7500 0.4063
N 0.1321 0.2500 0.8680
N 0.2053 0.7500 0.4859
N 0.4354 0.7500 0.1448
N 0.5646 0.2500 0.8552
N 0.7947 0.2500 0.5141
N 0.8679 0.7500 0.1320
```



# 4
Material: NdZr2ZnN4
Method: DFT, PBE-GGA
State: optimized geometry Values from VASP.

Summary:
- DOS at the Fermi energy: 1.564 states/eV per cell
- Size of the total moment: 0.0 μB/f.u.
- Formation energy from raw total energies: -1.190 eV per atom
- Crystal system: orthorhombic

```
&SYSTEM
  ibrav = 0, nat = 16, ntyp = 4
/
ATOMIC_SPECIES
Nd 144.24 Nd.upf
Zr 91.22 Zr.upf
Zn 65.41 Zn.upf
N 14.01 N.upf
CELL_PARAMETERS angstrom
1.6669 -5.5758 0.0000
1.6669 5.5758 0.0000
0.0000 0.0000 11.3173
ATOMIC_POSITIONS crystal
Nd 0.1090 0.8910 0.7500
Nd 0.8910 0.1090 0.2500
Zr 0.3713 0.6287 0.5458
Zr 0.3713 0.6287 0.9542
Zr 0.6287 0.3713 0.0458
Zr 0.6287 0.3713 0.4542
Zn 0.1581 0.8419 0.2500
Zn 0.8419 0.1581 0.7500
N 0.0000 0.0000 0.0000
N 0.0000 0.0000 0.5000
N 0.2712 0.7288 0.1134
N 0.2712 0.7288 0.3866
N 0.4431 0.5569 0.7500
N 0.5569 0.4431 0.2500
N 0.7288 0.2712 0.6134
N 0.7288 0.2712 0.8866
```